Here is a relaxed MnHg2F2 crystal from the Alexandria database. Energies are from GGA+U.

```
MnHg2F2
1.0
5.8583 0.0000 0.0000
0.0000 5.8583 0.0000
0.0000 0.0000 6.2469
F Hg Mn
4 4 2
direct
0.7490 0.2490 0.0000 F
0.2490 0.2510 0.0000 F
0.2510 0.7510 0.0000 F
0.7510 0.7490 0.0000 F
0.6976 0.8024 0.5000 Hg
0.8024 0.3024 0.5000 Hg
0.3024 0.1976 0.5000 Hg
0.1976 0.6976 0.5000 Hg
0.5000 0.5000 0.0000 Mn
0.0000 0.0000 0.0000 Mn
```

Output
The volume is 214.4 Å³ per cell. Its magnetic moment is 0.996 μB per atom. For the offset from the most stable computed form, the calculation gives 0.159 eV per atom. The calculation puts the density of states at the Fermi level at 1.53 states/eV/cell.